First-principles (PBE) data for a relaxed SrCa2I crystal, as listed in the Alexandria database.

Summary:
The offset from the most stable computed form comes out at 191 meV per atom. Its energy is -17.0 eV for the cell shown. The uncorrected formation energy is -314.0 meV/atom.

Cell lengths 10.0052, 10.0052, 7.9607 Å; angles 51.07, 51.07, 90.00 degrees
Sites, in units of the cell vectors:
Ca1 0.0626 0.6250 0.2500
Ca2 0.3750 0.3126 0.7500
Ca3 0.6874 0.1250 0.2500
Ca4 0.8750 0.9374 0.7500
Sr1 0.2500 0.7500 0.5000
Sr2 0.5000 0.5000 0.0000
I1 0.0000 0.0000 0.0000
I2 0.7500 0.2500 0.5000

=====

First-principles (PBE) data for a relaxed CrFe2P crystal, as listed in the Alexandria database.

Summary:
Its energy is -32.4 eV for the cell shown.

Cell lengths 3.6749, 2.5696, 4.7708 Å; angles 73.92, 90.00, 90.00 degrees
Sites, in units of the cell vectors:
Fe1 0.0000 0.1184 0.0114
Fe2 0.0000 0.3816 0.4886
Cr1 0.5000 0.7500 0.7500
P1 0.5000 0.2500 0.2500

=====

First-principles (PBE) data for a relaxed CsVH2 crystal, as listed in the Alexandria database.

Summary:
Its energy is -30.6 eV for the cell shown.

Cell lengths 6.1069, 6.1069, 5.9719 Å; angles 59.25, 59.25, 90.00 degrees
Sites, in units of the cell vectors:
H1 0.2926 0.6250 0.2500
H2 0.3750 0.5426 0.7500
H3 0.8750 0.7074 0.7500
H4 0.4574 0.1250 0.2500
Cs1 0.0000 0.0000 0.0000
Cs2 0.7500 0.2500 0.5000
V1 0.2500 0.7500 0.5000
V2 0.5000 0.5000 0.0000

=====

First-principles (PBE) data for a relaxed BSbSeN2 crystal, as listed in the Alexandria database.

Summary:
The offset from the most stable computed form comes out at 0 meV per atom. Its energy is -23.4 eV for the cell shown. The uncorrected formation energy is 1511.5 meV/atom.

Cell lengths 3.7638, 3.7638, 4.4360 Å; angles 90.00, 90.00, 90.00 degrees
Sites, in units of the cell vectors:
B1 0.0000 0.0000 0.0000
N1 0.0000 0.5000 0.0000
N2 0.5000 0.0000 0.0000
Sb1 0.5000 0.5000 0.5000
Se1 0.0000 0.0000 0.5000

=====

First-principles (PBE) data for a relaxed MgTlBr2 crystal, as listed in the Alexandria database.

Summary:
The offset from the most stable computed form comes out at 158 meV per atom. Its energy is -10.6 eV for the cell shown. The uncorrected formation energy is -821.8 meV/atom.

Cell lengths 6.6321, 6.6321, 6.6321 Å; angles 147.34, 123.93, 66.42 degrees
Sites, in units of the cell vectors:
Br1 0.5857 0.5857 0.0000
Br2 0.9143 0.9143 0.0000
Mg1 0.7500 0.2500 0.5000
Tl1 0.2500 0.7500 0.5000

=====

First-principles (PBE) data for a relaxed Tm6ThSc2 crystal, as listed in the Alexandria database.

Summary:
The offset from the most stable computed form comes out at 0 meV per atom. Its energy is -46.3 eV for the cell shown.

Cell lengths 3.4815, 3.4815, 25.3360 Å; angles 90.00, 90.00, 120.00 degrees
Sites, in units of the cell vectors:
Sc1 0.3333 0.6667 0.3307
Sc2 0.3333 0.6667 0.6693
Tm1 0.3333 0.6667 0.8852
Tm2 0.0000 0.0000 0.7735
Tm3 0.0000 0.0000 0.4336
Tm4 0.0000 0.0000 0.5664
Tm5 0.3333 0.6667 0.1148
Tm6 0.0000 0.0000 0.2265
Th1 0.0000 0.0000 0.0000

=====

First-principles (PBE) data for a relaxed SmDy4In3 crystal, as listed in the Alexandria database.

Summary:
The offset from the most stable computed form comes out at 0 meV per atom. Its energy is -33.9 eV for the cell shown.

Cell lengths 5.3688, 5.3688, 9.6030 Å; angles 73.77, 73.77, 60.00 degrees
Sites, in units of the cell vectors:
In1 0.5000 0.5000 0.5000
In2 0.7379 0.7379 0.7862
In3 0.2621 0.2621 0.2138
Dy1 0.8702 0.8702 0.3894
Dy2 0.1298 0.1298 0.6106
Dy3 0.6136 0.6136 0.1593
Dy4 0.3864 0.3864 0.8407
Sm1 0.0000 0.0000 0.0000

=====

First-principles (PBE) data for a relaxed LaDy2TcN4 crystal, as listed in the Alexandria database.

Summary:
Its energy is -133.4 eV for the cell shown. The uncorrected formation energy is -1110.9 meV/atom.

Cell lengths 3.4923, 6.1533, 11.6617 Å; angles 90.00, 90.00, 106.49 degrees
Sites, in units of the cell vectors:
N1 0.0000 0.0000 0.0000
N2 0.7368 0.4735 0.8742
N3 0.2632 0.5265 0.1258
N4 0.0000 0.0000 0.5000
N5 0.4334 0.8668 0.7500
N6 0.2632 0.5265 0.3742
N7 0.7368 0.4735 0.6258
N8 0.5666 0.1332 0.2500
Dy1 0.6314 0.2628 0.4598
Dy2 0.3686 0.7372 0.5402
Dy3 0.3686 0.7372 0.9598
Dy4 0.6314 0.2628 0.0402
La1 0.8826 0.7652 0.2500
La2 0.1174 0.2348 0.7500
Tc1 0.8540 0.7080 0.7500
Tc2 0.1460 0.2920 0.2500

=====

First-principles (PBE) data for a relaxed Pm3CdC2N6 crystal, as listed in the Alexandria database.

Summary:
Its energy is -89.4 eV for the cell shown. The uncorrected formation energy is -488.0 meV/atom.

Cell lengths 5.4384, 5.4384, 6.4728 Å; angles 90.00, 90.00, 120.00 degrees
Sites, in units of the cell vectors:
C1 0.3333 0.6667 0.2635
C2 0.6667 0.3333 0.7365
N1 0.8119 0.1881 0.7355
N2 0.8119 0.6237 0.7355
N3 0.3763 0.1881 0.7355
N4 0.1881 0.8119 0.2645
N5 0.6237 0.8119 0.2645
N6 0.1881 0.3763 0.2645
Pm1 0.6667 0.3333 0.3368
Pm2 0.0000 0.0000 0.0000
Pm3 0.3333 0.6667 0.6632
Cd1 0.0000 0.0000 0.5000

=====

First-principles (PBE) data for a relaxed SnP2SO crystal, as listed in the Alexandria database.

Summary:
The offset from the most stable computed form comes out at 368 meV per atom. Its energy is -20.5 eV for the cell shown. The uncorrected formation energy is 691.5 meV/atom.

Cell lengths 5.1354, 5.1354, 3.8801 Å; angles 90.00, 90.00, 90.00 degrees
Sites, in units of the cell vectors:
S1 0.5000 0.5000 0.5000
P1 0.0000 0.5000 0.0000
P2 0.5000 0.0000 0.0000
Sn1 0.0000 0.0000 0.0000
O1 0.0000 0.0000 0.5000

=====

First-principles (PBE) data for a relaxed Pa2TaO8 crystal, as listed in the Alexandria database.

Summary:
Its energy is -103.0 eV for the cell shown. The uncorrected formation energy is -2951.6 meV/atom.

Cell lengths 3.7781, 6.0626, 6.8637 Å; angles 100.77, 90.00, 108.16 degrees
Sites, in units of the cell vectors:
O1 0.9299 0.8598 0.8610
O2 0.6931 0.3863 0.0774
O3 0.0701 0.1402 0.1390
O4 0.8087 0.6175 0.4409
O5 0.1913 0.3825 0.5591
O6 0.4467 0.8933 0.2571
O7 0.3069 0.6137 0.9226
O8 0.5533 0.1067 0.7429
Pa1 0.7361 0.4723 0.7338
Pa2 0.2639 0.5277 0.2662
Ta1 0.5000 0.0000 0.0000

=====

First-principles (PBE) data for a relaxed NdS2O6 crystal, as listed in the Alexandria database.

Summary:
Its energy is -57.1 eV for the cell shown. The uncorrected formation energy is -1593.1 meV/atom.

Cell lengths 5.5817, 5.5817, 7.3812 Å; angles 67.78, 67.78, 60.00 degrees
Sites, in units of the cell vectors:
O1 0.8819 0.4291 0.2576
O2 0.4315 0.8819 0.2576
O3 0.6031 0.6007 0.7429
O4 0.6007 0.0532 0.7429
O5 0.4291 0.4315 0.2576
O6 0.0532 0.6031 0.7429
S1 0.7303 0.7303 0.8090
S2 0.6026 0.6026 0.1922
Nd1 0.3332 0.3332 0.0003

=====

First-principles (PBE) data for a relaxed Ti2AuSe crystal, as listed in the Alexandria database.

Summary:
Its energy is -48.0 eV for the cell shown. The uncorrected formation energy is -357.8 meV/atom.

Cell lengths 7.0243, 7.0243, 5.7931 Å; angles 52.68, 52.68, 90.00 degrees
Sites, in units of the cell vectors:
Se1 0.2500 0.7500 0.5000
Se2 0.5000 0.5000 0.0000
Au1 0.0000 0.0000 0.0000
Au2 0.7500 0.2500 0.5000
Ti1 0.3750 0.3938 0.7500
Ti2 0.6062 0.1250 0.2500
Ti3 0.8750 0.8562 0.7500
Ti4 0.1438 0.6250 0.2500

=====

First-principles (PBE) data for a relaxed SrZn2Cr crystal, as listed in the Alexandria database.

Summary:
Its energy is -12.5 eV for the cell shown.

Cell lengths 4.9535, 4.9535, 4.9535 Å; angles 120.01, 120.01, 89.98 degrees
Sites, in units of the cell vectors:
Cr1 0.5000 0.5000 0.0000
Zn1 0.2500 0.7500 0.5000
Zn2 0.0000 0.0000 0.0000
Sr1 0.7500 0.2500 0.5000

=====

First-principles (PBE) data for a relaxed Pm4Tm3PuS8 crystal, as listed in the Alexandria database.

Summary:
Its energy is -111.4 eV for the cell shown. The uncorrected formation energy is -1975.8 meV/atom.

Cell lengths 7.8724, 7.9365, 7.8723 Å; angles 119.73, 120.00, 90.00 degrees
Sites, in units of the cell vectors:
S1 0.7408 0.7354 0.9881
S2 0.2473 0.7354 0.9881
S3 0.7527 0.2646 0.0119
S4 0.7527 0.2646 0.5053
S5 0.2473 0.7354 0.4947
S6 0.2592 0.2646 0.0119
S7 0.7439 0.7318 0.4879
S8 0.2561 0.2682 0.5121
Pm1 0.0000 0.0000 0.5000
Pm2 0.0000 0.0000 0.0000
Pm3 0.5000 0.0000 0.5000
Pm4 0.5000 0.0000 0.0000
Tm1 0.0000 0.5000 0.5000
Tm2 0.5000 0.5000 0.5000
Tm3 0.5000 0.5000 0.0000
Pu1 0.0000 0.5000 0.0000

=====

First-principles (PBE) data for a relaxed CdIn2Br4 crystal, as listed in the Alexandria database.

Summary:
The offset from the most stable computed form comes out at 53 meV per atom. Its energy is -17.9 eV for the cell shown. The uncorrected formation energy is -685.5 meV/atom.

Cell lengths 5.5993, 5.5993, 8.9206 Å; angles 108.29, 108.29, 90.00 degrees
Sites, in units of the cell vectors:
Br1 0.1710 0.1710 0.3420
Br2 0.8290 0.8290 0.6580
Br3 0.0000 0.5000 0.0000
Br4 0.5000 0.0000 0.0000
In1 0.3642 0.3642 0.7284
In2 0.6358 0.6358 0.2716
Cd1 0.0000 0.0000 0.0000

=====

First-principles (PBE) data for a relaxed GeIrS3 crystal, as listed in the Alexandria database.

Summary:
Its energy is -54.8 eV for the cell shown. The uncorrected formation energy is -311.5 meV/atom.

Cell lengths 3.5911, 6.1963, 9.3339 Å; angles 93.81, 90.00, 90.00 degrees
Sites, in units of the cell vectors:
S1 0.7500 0.4216 0.3076
S2 0.7500 0.7928 0.9826
S3 0.2500 0.9449 0.2961
S4 0.2500 0.2072 0.0174
S5 0.2500 0.5784 0.6924
S6 0.7500 0.0551 0.7039
Ir1 0.7500 0.0881 0.1635
Ir2 0.2500 0.9119 0.8365
Ge1 0.7500 0.4089 0.8128
Ge2 0.2500 0.5911 0.1872

=====

First-principles (PBE) data for a relaxed CsNaPaSe3 crystal, as listed in the Alexandria database.

Summary:
Its energy is -59.7 eV for the cell shown. The uncorrected formation energy is -1285.9 meV/atom.

Cell lengths 4.3855, 9.7450, 10.3882 Å; angles 108.74, 90.00, 90.00 degrees
Sites, in units of the cell vectors:
Pa1 0.2500 0.6708 0.1442
Pa2 0.7500 0.3292 0.8558
Se1 0.7500 0.2325 0.5704
Se2 0.7500 0.4740 0.1469
Se3 0.2500 0.5260 0.8531
Se4 0.2500 0.1478 0.8878
Se5 0.7500 0.8522 0.1122
Se6 0.2500 0.7675 0.4296
Cs1 0.2500 0.2297 0.2624
Cs2 0.7500 0.7703 0.7376
Na1 0.2500 0.0679 0.6050
Na2 0.7500 0.9321 0.3950

=====

First-principles (PBE) data for a relaxed LaCd2Bi2 crystal, as listed in the Alexandria database.

Summary:
The offset from the most stable computed form comes out at 139 meV per atom. Its energy is -32.0 eV for the cell shown.

Cell lengths 8.4277, 8.4277, 4.0890 Å; angles 90.00, 90.00, 90.00 degrees
Sites, in units of the cell vectors:
Bi1 0.3162 0.1838 0.5000
Bi2 0.6838 0.8162 0.5000
Bi3 0.1838 0.6838 0.5000
Bi4 0.8162 0.3162 0.5000
Cd1 0.1180 0.3820 0.0000
Cd2 0.6180 0.1180 0.0000
Cd3 0.3820 0.8820 0.0000
Cd4 0.8820 0.6180 0.0000
La1 0.0000 0.0000 0.0000
La2 0.5000 0.5000 0.0000

=====

First-principles (PBE) data for a relaxed LaSc2Be crystal, as listed in the Alexandria database.

Summary:
Its energy is -20.3 eV for the cell shown.

Cell lengths 5.4461, 5.4461, 5.4461 Å; angles 130.39, 130.39, 72.78 degrees
Sites, in units of the cell vectors:
Be1 0.5000 0.5000 0.0000
Sc1 0.2500 0.7500 0.5000
Sc2 0.0000 0.0000 0.0000
La1 0.7500 0.2500 0.5000